The following is a DFT calculation (PBE) of crystalline CoMo2 at its relaxed geometry.

Computed properties:
Formation enthalpy at 0 K in eV per atom: 0.205
E_tot in eV for the cell shown: -84.46
Symmetry: No. 189
Total magnetic moment in Bohr magnetons per cell: 0.0
ρ in g/cm³: 9.8

abc: 6.809 6.809 3.189
angles: 90.00 90.00 120.00
Positions (direct):
1 Co 0.000 0.000 0.000
2 Co 0.333 0.667 0.500
3 Co 0.667 0.333 0.500
4 Mo 0.000 0.266 0.500
5 Mo 0.000 0.602 0.000
6 Mo 0.266 0.000 0.500
7 Mo 0.398 0.398 0.000
8 Mo 0.602 0.000 0.000
9 Mo 0.734 0.734 0.500

The following is a DFT calculation (PBE) of crystalline Hf2MnCo3 at its relaxed geometry.

Computed properties:
Formation enthalpy at 0 K in eV per atom: 0.083
E_tot in eV for the cell shown: -49.89
Symmetry: No. 71
Total magnetic moment in Bohr magnetons per cell: 4.5
ρ in g/cm³: 10.8

abc: 5.452 5.452 5.452
angles: 134.17 126.95 72.67
Positions (direct):
1 Hf 0.185 0.185 0.000
2 Hf 0.815 0.815 0.000
3 Mn 0.500 0.500 0.000
4 Co 0.000 0.500 0.500
5 Co 0.364 0.864 0.500
6 Co 0.636 0.136 0.500

The following is a DFT calculation (PBE) of crystalline Tb2PuTe4 at its relaxed geometry.

Computed properties:
E_tot in eV for the cell shown: -90.15
Formation energy without anion corrections in eV per formula unit: -8.9
Symmetry: No. 63
Total magnetic moment in Bohr magnetons per cell: 11.4
ρ in g/cm³: 7.6

abc: 7.494 7.494 14.989
angles: 90.00 90.00 146.40
Positions (direct):
1 Tb 0.134 0.866 0.567
2 Tb 0.134 0.866 0.933
3 Tb 0.866 0.134 0.067
4 Tb 0.866 0.134 0.433
5 Pu 0.381 0.619 0.750
6 Pu 0.619 0.381 0.250
7 Te 0.042 0.958 0.750
8 Te 0.225 0.775 0.123
9 Te 0.225 0.775 0.377
10 Te 0.500 0.500 0.000
11 Te 0.500 0.500 0.500
12 Te 0.775 0.225 0.623
13 Te 0.775 0.225 0.877
14 Te 0.958 0.042 0.250

Which of these has the lowest E_tot? Tb2PuTe4